1.
Here is a relaxed structure of SrNpPt2 from the Alexandria database. Energies are from PBE.

```
data_SrNpPt2
_cell_length_a 3.551
_cell_length_b 3.551
_cell_length_c 7.482
_cell_angle_alpha 90.00
_cell_angle_beta 90.00
_cell_angle_gamma 90.00
_space_group_name_H-M_alt 'P 1'
_space_group_IT_number 1
loop_
_space_group_symop_operation_xyz
'x,y,z'
loop_
_atom_site_label
_atom_site_fract_x
_atom_site_fract_y
_atom_site_fract_z
Sr1 0.000 0.000 0.000
Np1 0.000 0.000 0.500
Pt1 0.500 0.500 0.292
Pt2 0.500 0.500 0.708
```

Results
The calculation puts the formation energy at -0.603 eV/atom. The value obtained for the size of the total moment is 3.9 μB/f.u. As for the volume: 23.58 A^3/atom. The calculation puts the offset from the most stable computed form at 0.0000 eV/atom.

***

2.
Here is a relaxed structure of SrNpPt10 from the Alexandria database. Energies are from PBE.

```
data_SrNpPt10
_cell_length_a 4.423
_cell_length_b 5.437
_cell_length_c 9.386
_cell_angle_alpha 90.00
_cell_angle_beta 90.00
_cell_angle_gamma 90.00
_space_group_name_H-M_alt 'P 1'
_space_group_IT_number 1
loop_
_space_group_symop_operation_xyz
'x,y,z'
loop_
_atom_site_label
_atom_site_fract_x
_atom_site_fract_y
_atom_site_fract_z
Sr1 0.000 0.000 0.000
Np1 0.000 0.500 0.500
Pt1 0.000 0.000 0.338
Pt2 0.000 0.000 0.662
Pt3 0.000 0.500 0.174
Pt4 0.000 0.500 0.826
Pt5 0.500 0.000 0.500
Pt6 0.500 0.253 0.255
Pt7 0.500 0.253 0.745
Pt8 0.500 0.500 0.000
Pt9 0.500 0.747 0.255
Pt10 0.500 0.747 0.745
```

Results
The calculation puts the formation energy at -0.494 eV/atom. The value obtained for the size of the total moment is 3.4 μB/f.u. As for the volume: 18.81 A^3/atom.

***

3.
Here is a relaxed structure of Sr3NpPt8 from the Alexandria database. Energies are from PBE.

```
data_Sr3NpPt8
_cell_length_a 9.587
_cell_length_b 9.587
_cell_length_c 9.587
_cell_angle_alpha 33.60
_cell_angle_beta 33.60
_cell_angle_gamma 33.60
_space_group_name_H-M_alt 'P 1'
_space_group_IT_number 1
loop_
_space_group_symop_operation_xyz
'x,y,z'
loop_
_atom_site_label
_atom_site_fract_x
_atom_site_fract_y
_atom_site_fract_z
Sr1 0.000 0.000 0.000
Sr2 0.124 0.124 0.124
Sr3 0.627 0.627 0.627
Np1 0.502 0.502 0.502
Pt1 0.063 0.063 0.558
Pt2 0.063 0.558 0.063
Pt3 0.069 0.563 0.563
Pt4 0.313 0.313 0.313
Pt5 0.558 0.063 0.063
Pt6 0.563 0.069 0.563
Pt7 0.563 0.563 0.069
Pt8 0.813 0.813 0.813
```

Results
The calculation puts the formation energy at -0.767 eV/atom. The value obtained for the size of the total moment is 3.9 μB/f.u. As for the volume: 20.03 A^3/atom.

***

4.
Here is a relaxed structure of SrNpPt2 from the Alexandria database. Energies are from PBE.

```
data_SrNpPt2
_cell_length_a 4.195
_cell_length_b 4.195
_cell_length_c 20.757
_cell_angle_alpha 90.00
_cell_angle_beta 90.00
_cell_angle_gamma 120.00
_space_group_name_H-M_alt 'P 1'
_space_group_IT_number 1
loop_
_space_group_symop_operation_xyz
'x,y,z'
loop_
_atom_site_label
_atom_site_fract_x
_atom_site_fract_y
_atom_site_fract_z
Sr1 0.000 0.000 0.000
Sr2 0.333 0.667 0.667
Sr3 0.667 0.333 0.333
Np1 0.000 0.000 0.500
Np2 0.333 0.667 0.167
Np3 0.667 0.333 0.833
Pt1 0.000 0.000 0.234
Pt2 0.000 0.000 0.766
Pt3 0.333 0.667 0.432
Pt4 0.333 0.667 0.901
Pt5 0.667 0.333 0.099
Pt6 0.667 0.333 0.568
```

Results
The calculation puts the formation energy at -0.586 eV/atom. The value obtained for the size of the total moment is 3.5 μB/f.u. As for the volume: 26.36 A^3/atom. The calculation puts the offset from the most stable computed form at 0.0162 eV/atom.